! Si2AsP, optimized geometry, DFT GGA-PBE; values from VASP
! **E_form (uncorrected)**: 53 kJ per mole of atoms
! **Symmetry**: Cmmm, No. 65
&SYSTEM
  ibrav = 0, nat = 4, ntyp = 3
/
ATOMIC_SPECIES
Si 28.09 Si.upf
P 30.97 P.upf
As 74.92 As.upf
CELL_PARAMETERS angstrom
-1.081 -1.921 1.607
2.480 0.688 0.905
-3.666 6.401 5.182
ATOMIC_POSITIONS crystal
Si 0.000 0.000 0.513
Si 0.000 0.000 0.987
P 0.500 0.500 0.750
As 0.500 0.500 0.250

=====

! LiCu8Sn3, optimized geometry, DFT GGA-PBE; values from VASP
! **Symmetry**: R3m, No. 160
! **ΔH_f (0 K)**: -0.56 eV/f.u.
&SYSTEM
  ibrav = 0, nat = 12, ntyp = 3
/
ATOMIC_SPECIES
Li 6.94 Li.upf
Sn 118.71 Sn.upf
Cu 63.55 Cu.upf
CELL_PARAMETERS angstrom
-2.955 1.862 -3.555
-2.410 -3.071 -3.098
-8.323 -0.634 3.094
ATOMIC_POSITIONS crystal
Li 0.871 0.871 0.386
Sn 0.987 0.987 0.038
Sn 0.380 0.380 0.860
Sn 0.507 0.507 0.479
Cu 0.688 0.688 0.935
Cu 0.938 0.436 0.190
Cu 0.939 0.441 0.682
Cu 0.436 0.938 0.190
Cu 0.188 0.188 0.437
Cu 0.939 0.939 0.682
Cu 0.436 0.436 0.190
Cu 0.441 0.939 0.682

=====

! CeHoRuRh, optimized geometry, DFT GGA-PBE; values from VASP
! **Symmetry**: F-43m, No. 216
! **ΔH_f (0 K)**: -2.27 eV/f.u.
&SYSTEM
  ibrav = 0, nat = 4, ntyp = 4
/
ATOMIC_SPECIES
Rh 102.91 Rh.upf
Ru 101.07 Ru.upf
Ce 140.12 Ce.upf
Ho 164.93 Ho.upf
CELL_PARAMETERS angstrom
-0.960 -3.816 2.856
0.399 -4.515 -1.759
3.615 -2.883 1.501
ATOMIC_POSITIONS crystal
Rh 0.250 0.250 0.250
Ru 0.750 0.750 0.750
Ce 0.500 0.500 0.500
Ho 0.000 0.000 0.000

=====

! TbErPu2, optimized geometry, DFT GGA-PBE; values from VASP
! **Symmetry**: P4/mmm, No. 123
! **ΔH_f (0 K)**: 0.69 eV/f.u.
&SYSTEM
  ibrav = 0, nat = 4, ntyp = 3
/
ATOMIC_SPECIES
Pu 244.00 Pu.upf
Er 167.26 Er.upf
Tb 158.93 Tb.upf
CELL_PARAMETERS angstrom
3.396 0.000 0.000
0.000 3.396 0.000
0.000 0.000 10.080
ATOMIC_POSITIONS crystal
Pu 0.000 0.000 0.252
Pu 0.000 0.000 0.748
Er 0.500 0.500 0.500
Tb 0.500 0.500 0.000

=====

! Sr2CoCu2, optimized geometry, DFT GGA-PBE; values from VASP
! **Symmetry**: P4/mbm, No. 127
! **ΔH_f (0 K)**: 1.50 eV/f.u.
&SYSTEM
  ibrav = 0, nat = 10, ntyp = 3
/
ATOMIC_SPECIES
Cu 63.55 Cu.upf
Sr 87.62 Sr.upf
Co 58.93 Co.upf
CELL_PARAMETERS angstrom
-5.445 -3.392 3.457
0.859 -5.796 -4.333
2.902 -1.723 2.881
ATOMIC_POSITIONS crystal
Cu 0.378 0.878 0.000
Cu 0.878 0.622 0.000
Cu 0.622 0.122 0.000
Cu 0.122 0.378 0.000
Sr 0.183 0.683 0.500
Sr 0.683 0.817 0.500
Sr 0.317 0.183 0.500
Sr 0.817 0.317 0.500
Co 0.000 0.000 0.000
Co 0.500 0.500 0.000

=====

! Zr2CdBr, optimized geometry, DFT GGA-PBE; values from VASP
! **E_form (uncorrected)**: 6 kJ per mole of atoms
! **Symmetry**: Fm-3m, No. 225
&SYSTEM
  ibrav = 0, nat = 4, ntyp = 3
/
ATOMIC_SPECIES
Zr 91.22 Zr.upf
Br 79.90 Br.upf
Cd 112.41 Cd.upf
CELL_PARAMETERS angstrom
-2.132 -3.636 2.637
-3.832 -2.532 -1.903
0.590 -4.742 -1.374
ATOMIC_POSITIONS crystal
Zr 0.250 0.250 0.250
Zr 0.750 0.750 0.750
Br 0.000 0.000 0.000
Cd 0.500 0.500 0.500

=====

! MgScAs2Br, optimized geometry, DFT GGA-PBE; values from VASP
! **E_form (uncorrected)**: -21 kJ per mole of atoms
! **Symmetry**: P4/mmm, No. 123
&SYSTEM
  ibrav = 0, nat = 5, ntyp = 4
/
ATOMIC_SPECIES
Sc 44.96 Sc.upf
Br 79.90 Br.upf
As 74.92 As.upf
Mg 24.30 Mg.upf
CELL_PARAMETERS angstrom
-5.108 -0.757 -0.341
-0.054 -1.820 4.844
-0.834 4.815 1.800
ATOMIC_POSITIONS crystal
Sc 0.000 0.000 0.000
Br 0.000 0.000 0.500
As 0.000 0.500 0.000
As 0.500 0.000 0.000
Mg 0.500 0.500 0.500

=====

! Y2Ti2Fe15, optimized geometry, DFT GGA-PBE; values from VASP
! **Symmetry**: R-3m, No. 166
! **ΔH_f (0 K)**: -1.71 eV/f.u.
&SYSTEM
  ibrav = 0, nat = 19, ntyp = 3
/
ATOMIC_SPECIES
Fe 55.84 Fe.upf
Ti 47.87 Ti.upf
Y 88.91 Y.upf
CELL_PARAMETERS angstrom
-2.849 3.004 4.931
-6.095 -1.329 -1.594
-0.777 -5.140 3.800
ATOMIC_POSITIONS crystal
Fe 0.000 0.300 0.700
Fe 0.700 0.300 0.000
Fe 0.343 0.840 0.343
Fe 0.000 0.000 0.500
Fe 0.657 0.657 0.160
Fe 0.300 0.700 0.000
Fe 0.000 0.500 0.000
Fe 0.657 0.160 0.657
Fe 0.840 0.343 0.343
Fe 0.500 0.000 0.000
Fe 0.343 0.343 0.840
Fe 0.160 0.657 0.657
Fe 0.300 0.000 0.700
Fe 0.000 0.700 0.300
Fe 0.700 0.000 0.300
Ti 0.103 0.103 0.103
Ti 0.897 0.897 0.897
Y 0.349 0.349 0.349
Y 0.651 0.651 0.651